[1]
VASP calculation (PBE) on an optimized crystal structure of K2HfI5.

Summary:
Magnetization: 2.045 Bohr magnetons per cell
Formation energy from raw total energies: -1007 meV per atom
Calculated total energy: -3.49 eV per atom

a = 8.979 Å, b = 8.979 Å, c = 9.614 Å
α = 90.00°, β = 90.00°, γ = 90.00°
Space group I4mm (No. 107)
Inequivalent atoms, fractional coordinates:
K (0.000, 0.500, 0.000) [4 per cell]
Hf (0.000, 0.000, 0.328) [2 per cell]
I (0.000, 0.000, 0.606) [2 per cell]
I (0.219, 0.219, 0.258) [8 per cell]

---

[2]
VASP calculation (PBE) on an optimized crystal structure of KHf2I2.

Summary:
Magnetization: 0.000 Bohr magnetons per cell
Formation energy from raw total energies: -144 meV per atom
Calculated total energy: -4.97 eV per atom

a = 4.184 Å, b = 4.184 Å, c = 17.563 Å
α = 90.00°, β = 90.00°, γ = 90.00°
Space group I4/mmm (No. 139)
Inequivalent atoms, fractional coordinates:
K (0.000, 0.000, 0.000) [2 per cell]
Hf (0.000, 0.500, 0.250) [4 per cell]
I (0.000, 0.000, 0.380) [4 per cell]

---

[3]
VASP calculation (PBE) on an optimized crystal structure of KHf3I.

Summary:
Magnetization: 0.000 Bohr magnetons per cell
Formation energy from raw total energies: 1282 meV per atom
Calculated total energy: -5.22 eV per atom

a = 5.385 Å, b = 5.385 Å, c = 5.385 Å
α = 90.00°, β = 90.00°, γ = 90.00°
Space group Pm-3m (No. 221)
Inequivalent atoms, fractional coordinates:
K (0.000, 0.000, 0.000) [1 per cell]
Hf (0.000, 0.500, 0.500) [3 per cell]
I (0.500, 0.500, 0.500) [1 per cell]

---

[4]
VASP calculation (PBE) on an optimized crystal structure of K6HfI12.

Summary:
Magnetization: 6.373 Bohr magnetons per cell
Formation energy from raw total energies: -1092 meV per atom
Calculated total energy: -2.94 eV per atom

a = 14.7852 Å, b = 14.7852 Å, c = 14.8878 Å
α = 90.00°, β = 90.00°, γ = 120.00°
Space group R-3 (No. 148, hexagonal axes)
Inequivalent atoms, fractional coordinates:
K (0.0566, 0.5965, 0.3094) [18 per cell]
Hf (0.0000, 0.0000, 0.0000) [3 per cell]
I (0.0588, 0.8796, 0.8888) [18 per cell]
I (0.0607, 0.8208, 0.4038) [18 per cell]

---

[5]
VASP calculation (PBE) on an optimized crystal structure of KHfI2.

Summary:
Magnetization: 11.465 Bohr magnetons per cell
Formation energy from raw total energies: -55 meV per atom
Calculated total energy: -3.59 eV per atom

a = 6.772 Å, b = 6.772 Å, c = 16.379 Å
α = 90.00°, β = 90.00°, γ = 90.00°
Space group I-42d (No. 122)
Inequivalent atoms, fractional coordinates:
K (0.000, 0.000, 0.000) [4 per cell]
Hf (0.000, 0.000, 0.500) [4 per cell]
I (0.171, 0.250, 0.625) [8 per cell]

---

[6]
VASP calculation (PBE) on an optimized crystal structure of KHf2I.

Summary:
Magnetization: 0.000 Bohr magnetons per cell
Formation energy from raw total energies: 697 meV per atom
Calculated total energy: -4.94 eV per atom

a = 4.324 Å, b = 4.324 Å, c = 25.898 Å
α = 90.00°, β = 90.00°, γ = 90.00°
Space group I-42d (No. 122)
Inequivalent atoms, fractional coordinates:
K (0.000, 0.000, 0.000) [4 per cell]
Hf (0.243, 0.250, 0.625) [8 per cell]
I (0.000, 0.000, 0.500) [4 per cell]

---

[7]
VASP calculation (PBE) on an optimized crystal structure of KHf2I2.

Summary:
Magnetization: 0.000 Bohr magnetons per cell
Formation energy from raw total energies: 422 meV per atom
Calculated total energy: -4.40 eV per atom

a = 9.260 Å, b = 9.260 Å, c = 3.464 Å
α = 90.00°, β = 90.00°, γ = 90.00°
Space group P4/mbm (No. 127)
Inequivalent atoms, fractional coordinates:
K (0.000, 0.000, 0.000) [2 per cell]
Hf (0.107, 0.393, 0.500) [4 per cell]
I (0.165, 0.665, 0.000) [4 per cell]

---

[8]
VASP calculation (PBE) on an optimized crystal structure of KLiHfI6.

Summary:
Magnetization: 0.000 Bohr magnetons per cell
Formation energy from raw total energies: -1088 meV per atom
Calculated total energy: -3.56 eV per atom

a = 7.6063 Å, b = 7.6063 Å, c = 15.6004 Å
α = 90.00°, β = 90.00°, γ = 120.00°
Space group P-31c (No. 163)
Inequivalent atoms, fractional coordinates:
K (0.0000, 0.0000, 0.0000) [2 per cell]
Li (0.3333, 0.6667, 0.2500) [2 per cell]
Hf (0.3333, 0.6667, 0.7500) [2 per cell]
I (0.0138, 0.3745, 0.6439) [12 per cell]

---

[9]
VASP calculation (PBE) on an optimized crystal structure of KHfIN2.

Summary:
Magnetization: 0.241 Bohr magnetons per cell
Formation energy from raw total energies: -130 meV per atom
Calculated total energy: -5.98 eV per atom

a = 4.319 Å, b = 4.319 Å, c = 6.051 Å
α = 90.00°, β = 90.00°, γ = 90.00°
Space group P4/mmm (No. 123)
Inequivalent atoms, fractional coordinates:
K (0.000, 0.000, 0.000) [1 per cell]
Hf (0.500, 0.500, 0.500) [1 per cell]
I (0.500, 0.500, 0.000) [1 per cell]
N (0.000, 0.500, 0.500) [2 per cell]

---

[10]
VASP calculation (PBE) on an optimized crystal structure of KHfIN2.

Summary:
Magnetization: 0.168 Bohr magnetons per cell
Formation energy from raw total energies: 2329 meV per atom
Calculated total energy: -3.52 eV per atom

a = 4.428 Å, b = 4.428 Å, c = 5.681 Å
α = 90.00°, β = 90.00°, γ = 90.00°
Space group P4/mmm (No. 123)
Inequivalent atoms, fractional coordinates:
K (0.000, 0.000, 0.000) [1 per cell]
Hf (0.500, 0.500, 0.500) [1 per cell]
I (0.000, 0.000, 0.500) [1 per cell]
N (0.000, 0.500, 0.000) [2 per cell]

---

[11]
VASP calculation (PBE) on an optimized crystal structure of KNaHfI6.

Summary:
Magnetization: 0.000 Bohr magnetons per cell
Formation energy from raw total energies: -1102 meV per atom
Calculated total energy: -3.51 eV per atom

a = 8.0194 Å, b = 8.0194 Å, c = 14.8284 Å
α = 90.00°, β = 90.00°, γ = 120.00°
Space group P-31c (No. 163)
Inequivalent atoms, fractional coordinates:
K (0.0000, 0.0000, 0.0000) [2 per cell]
Na (0.3333, 0.6667, 0.2500) [2 per cell]
Hf (0.3333, 0.6667, 0.7500) [2 per cell]
I (0.0349, 0.3850, 0.6376) [12 per cell]

---

[12]
VASP calculation (PBE) on an optimized crystal structure of KNaHfI2.

Summary:
Magnetization: 0.882 Bohr magnetons per cell
Formation energy from raw total energies: -76 meV per atom
Calculated total energy: -3.17 eV per atom

a = 5.734 Å, b = 5.734 Å, c = 6.237 Å
α = 90.00°, β = 90.00°, γ = 90.00°
Space group P4/mmm (No. 123)
Inequivalent atoms, fractional coordinates:
K (0.000, 0.000, 0.000) [1 per cell]
Na (0.500, 0.500, 0.000) [1 per cell]
Hf (0.500, 0.500, 0.500) [1 per cell]
I (0.000, 0.500, 0.500) [2 per cell]

---

[13]
VASP calculation (PBE) on an optimized crystal structure of KHfI2O.

Summary:
Magnetization: 0.598 Bohr magnetons per cell
Formation energy from raw total energies: 585 meV per atom
Calculated total energy: -3.24 eV per atom

a = 6.028 Å, b = 6.028 Å, c = 4.114 Å
α = 90.00°, β = 90.00°, γ = 90.00°
Space group P4/mmm (No. 123)
Inequivalent atoms, fractional coordinates:
K (0.000, 0.000, 0.000) [1 per cell]
Hf (0.500, 0.500, 0.500) [1 per cell]
I (0.000, 0.500, 0.000) [2 per cell]
O (0.000, 0.000, 0.500) [1 per cell]

---

[14]
VASP calculation (PBE) on an optimized crystal structure of KHfIO5.

Summary:
Magnetization: 0.000 Bohr magnetons per cell
Formation energy from raw total energies: -1677 meV per atom
Calculated total energy: -6.35 eV per atom

a = 7.274 Å, b = 9.631 Å, c = 7.669 Å
α = 90.00°, β = 106.93°, γ = 90.00°
Space group C2/c (No. 15)
Inequivalent atoms, fractional coordinates:
K (0.000, 0.175, 0.250) [4 per cell]
Hf (0.000, 0.500, 0.000) [4 per cell]
I (0.000, 0.167, 0.750) [4 per cell]
O (0.000, 0.437, 0.250) [4 per cell]
O (0.102, 0.294, 0.614) [8 per cell]
O (0.222, 0.086, 0.951) [8 per cell]

---

[15]
VASP calculation (PBE) on an optimized crystal structure of KHfI2O.

Summary:
Magnetization: 0.143 Bohr magnetons per cell
Formation energy from raw total energies: -1486 meV per atom
Calculated total energy: -5.31 eV per atom

a = 6.054 Å, b = 6.054 Å, c = 4.026 Å
α = 90.00°, β = 90.00°, γ = 90.00°
Space group P4/mmm (No. 123)
Inequivalent atoms, fractional coordinates:
K (0.000, 0.000, 0.000) [1 per cell]
Hf (0.500, 0.500, 0.500) [1 per cell]
I (0.000, 0.500, 0.500) [2 per cell]
O (0.500, 0.500, 0.000) [1 per cell]

---

[16]
VASP calculation (PBE) on an optimized crystal structure of K2HfIO6.

Summary:
Magnetization: 0.000 Bohr magnetons per cell
Formation energy from raw total energies: -1734 meV per atom
Calculated total energy: -6.08 eV per atom

a = 6.0797 Å, b = 6.0797 Å, c = 29.7832 Å
α = 90.00°, β = 90.00°, γ = 120.00°
Space group R-3m (No. 166, hexagonal axes)
Inequivalent atoms, fractional coordinates:
K (0.0000, 0.0000, 0.1322) [6 per cell]
K (0.0000, 0.0000, 0.2727) [6 per cell]
Hf (0.0000, 0.0000, 0.4021) [6 per cell]
I (0.0000, 0.0000, 0.0000) [3 per cell]
I (0.0000, 0.0000, 0.5000) [3 per cell]
O (0.0066, 0.5033, 0.7073) [18 per cell]
O (0.0502, 0.5251, 0.1267) [18 per cell]

---

[17]
VASP calculation (PBE) on an optimized crystal structure of KHfIO6.

Summary:
Magnetization: 0.000 Bohr magnetons per cell
Formation energy from raw total energies: -1657 meV per atom
Calculated total energy: -6.36 eV per atom

a = 5.4233 Å, b = 5.4233 Å, c = 5.9544 Å
α = 90.00°, β = 90.00°, γ = 120.00°
Space group P312 (No. 149)
Inequivalent atoms, fractional coordinates:
K (0.0000, 0.0000, 0.0000) [1 per cell]
Hf (0.3333, 0.6667, 0.5000) [1 per cell]
I (0.6667, 0.3333, 0.5000) [1 per cell]
O (0.3990, 0.0258, 0.6836) [6 per cell]

---

[18]
VASP calculation (PBE) on an optimized crystal structure of KRbHfI6.

Summary:
Magnetization: 0.000 Bohr magnetons per cell
Formation energy from raw total energies: -1161 meV per atom
Calculated total energy: -3.53 eV per atom

a = 8.6078 Å, b = 8.6078 Å, c = 14.4573 Å
α = 90.00°, β = 90.00°, γ = 120.00°
Space group P-31c (No. 163)
Inequivalent atoms, fractional coordinates:
K (0.3333, 0.6667, 0.2500) [2 per cell]
Rb (0.0000, 0.0000, 0.0000) [2 per cell]
Hf (0.3333, 0.6667, 0.7500) [2 per cell]
I (0.0600, 0.3992, 0.6346) [12 per cell]

---

[19]
VASP calculation (PBE) on an optimized crystal structure of K2RbHfI8.

Summary:
Magnetization: 0.005 Bohr magnetons per cell
Formation energy from raw total energies: -1070 meV per atom
Calculated total energy: -3.20 eV per atom

a = 6.962 Å, b = 8.090 Å, c = 10.811 Å
α = 89.96°, β = 89.85°, γ = 89.15°
Space group P-1 (No. 2)
Inequivalent atoms, fractional coordinates:
K (0.002, 0.000, 0.220) [2 per cell]
Rb (0.500, 0.500, 0.500) [1 per cell]
Hf (0.500, 0.500, 0.000) [1 per cell]
I (0.257, 0.988, 0.500) [2 per cell]
I (0.259, 0.375, 0.192) [2 per cell]
I (0.260, 0.373, 0.809) [2 per cell]
I (0.290, 0.806, 0.999) [2 per cell]

---

[20]
VASP calculation (PBE) on an optimized crystal structure of KHfSbI2.

Summary:
Magnetization: 0.883 Bohr magnetons per cell
Formation energy from raw total energies: 984 meV per atom
Calculated total energy: -2.67 eV per atom

a = 5.918 Å, b = 5.918 Å, c = 6.121 Å
α = 90.00°, β = 90.00°, γ = 90.00°
Space group P4/mmm (No. 123)
Inequivalent atoms, fractional coordinates:
K (0.000, 0.000, 0.000) [1 per cell]
Hf (0.500, 0.500, 0.500) [1 per cell]
Sb (0.000, 0.000, 0.500) [1 per cell]
I (0.000, 0.500, 0.000) [2 per cell]